VASP calculation (PBE) on CoAsAu2 after structural relaxation.

```
data_CoAsAu2
_symmetry_space_group_name_H-M 'P 4 m m'
_symmetry_Int_Tables_number 99
_symmetry_space_group_name_Hall 'P 4 -2'
_cell_length_a 2.9056
_cell_length_b 2.9056
_cell_length_c 7.7607
_cell_angle_alpha 90.00
_cell_angle_beta 90.00
_cell_angle_gamma 90.00
loop_
_atom_site_label
_atom_site_type_symbol
_atom_site_fract_x
_atom_site_fract_y
_atom_site_fract_z
Co1 Co 0.0000 0.0000 0.0000
As1 As 0.5000 0.5000 0.1614
Au1 Au 0.0000 0.0000 0.4834
Au2 Au 0.5000 0.5000 0.7570
```

***

# Co2As2Au | Alexandria via LeMat-Bulk | PBE | relaxed
data_Co2As2Au
_symmetry_space_group_name_H-M 'I 4/m m m'
_symmetry_Int_Tables_number 139
_symmetry_space_group_name_Hall '-I 4 2'
_cell_length_a 3.7933
_cell_length_b 3.7933
_cell_length_c 10.6214
_cell_angle_alpha 90.00
_cell_angle_beta 90.00
_cell_angle_gamma 90.00
loop_
_atom_site_label
_atom_site_type_symbol
_atom_site_fract_x
_atom_site_fract_y
_atom_site_fract_z
Co1 Co 0.0000 0.0000 0.1168
As1 As 0.0000 0.5000 0.2500
Au1 Au 0.0000 0.0000 0.5000
# Distance to the lowest polymorph of the same formula (eV/atom): 0.112

***

VASP calculation (PBE) on Co4AsAu after structural relaxation.

```
data_Co4AsAu
_symmetry_space_group_name_H-M 'F -4 3 m'
_symmetry_Int_Tables_number 216
_symmetry_space_group_name_Hall 'F -4 2 3'
_cell_length_a 6.8752
_cell_length_b 6.8752
_cell_length_c 6.8752
_cell_angle_alpha 90.00
_cell_angle_beta 90.00
_cell_angle_gamma 90.00
loop_
_atom_site_label
_atom_site_type_symbol
_atom_site_fract_x
_atom_site_fract_y
_atom_site_fract_z
Co1 Co 0.1249 0.1249 0.1249
As1 As 0.0000 0.0000 0.5000
Au1 Au 0.2500 0.2500 0.7500
```

***

VASP calculation (PBE) on CoAsAu2 after structural relaxation.

```
data_CoAsAu2
_symmetry_space_group_name_H-M 'C 1 2/m 1'
_symmetry_Int_Tables_number 12
_symmetry_space_group_name_Hall '-C 2y'
_cell_length_a 5.3941
_cell_length_b 9.9992
_cell_length_c 2.9818
_cell_angle_alpha 90.00
_cell_angle_beta 122.62
_cell_angle_gamma 90.00
loop_
_atom_site_label
_atom_site_type_symbol
_atom_site_fract_x
_atom_site_fract_y
_atom_site_fract_z
Co1 Co 0.0000 0.0000 0.0000
As1 As 0.0000 0.5000 0.0000
Au1 Au 0.2500 0.2500 0.5000
```

***

VASP calculation (PBE) on CoAsAu2 after structural relaxation.

```
data_CoAsAu2
_symmetry_space_group_name_H-M 'I -4 2 d'
_symmetry_Int_Tables_number 122
_symmetry_space_group_name_Hall 'I -4 2bw'
_cell_length_a 7.3344
_cell_length_b 7.3344
_cell_length_c 5.2451
_cell_angle_alpha 90.00
_cell_angle_beta 90.00
_cell_angle_gamma 90.00
loop_
_atom_site_label
_atom_site_type_symbol
_atom_site_fract_x
_atom_site_fract_y
_atom_site_fract_z
Co1 Co 0.0000 0.0000 0.0000
As1 As 0.0000 0.0000 0.5000
Au1 Au 0.2453 0.2500 0.1250
```

***

# CoAsAu3 | Alexandria via LeMat-Bulk | PBE | relaxed
data_CoAsAu3
_symmetry_space_group_name_H-M 'P m -3 m'
_symmetry_Int_Tables_number 221
_symmetry_space_group_name_Hall '-P 4 2 3'
_cell_length_a 4.7542
_cell_length_b 4.7542
_cell_length_c 4.7542
_cell_angle_alpha 90.00
_cell_angle_beta 90.00
_cell_angle_gamma 90.00
loop_
_atom_site_label
_atom_site_type_symbol
_atom_site_fract_x
_atom_site_fract_y
_atom_site_fract_z
Co1 Co 0.0000 0.0000 0.0000
As1 As 0.5000 0.5000 0.5000
Au1 Au 0.0000 0.0000 0.5000
# Distance to the lowest polymorph of the same formula (eV/atom): 0.023

***

VASP calculation (PBE) on CoAsAu2 after structural relaxation.

```
data_CoAsAu2
_symmetry_space_group_name_H-M 'R -3 m'
_symmetry_Int_Tables_number 166
_symmetry_space_group_name_Hall '-R 3 2"'
_cell_length_a 2.9732
_cell_length_b 2.9732
_cell_length_c 26.4947
_cell_angle_alpha 90.00
_cell_angle_beta 90.00
_cell_angle_gamma 120.00
loop_
_atom_site_label
_atom_site_type_symbol
_atom_site_fract_x
_atom_site_fract_y
_atom_site_fract_z
Co1 Co 0.0000 0.0000 0.0000
As1 As 0.0000 0.0000 0.5000
Au1 Au 0.0000 0.0000 0.2556
```

***

VASP calculation (PBE) on CoAsAu2 after structural relaxation.

```
data_CoAsAu2
_symmetry_space_group_name_H-M 'I m m 2'
_symmetry_Int_Tables_number 44
_symmetry_space_group_name_Hall 'I 2 -2'
_cell_length_a 3.3045
_cell_length_b 4.3204
_cell_length_c 9.3391
_cell_angle_alpha 90.00
_cell_angle_beta 90.00
_cell_angle_gamma 90.00
loop_
_atom_site_label
_atom_site_type_symbol
_atom_site_fract_x
_atom_site_fract_y
_atom_site_fract_z
Co1 Co 0.0000 0.0000 0.0000
As1 As 0.0000 0.5000 0.6664
Au1 Au 0.0000 0.0000 0.4665
Au2 Au 0.0000 0.5000 0.2598
```

***

Formation energy from the elements in eV per atom, matching the order above: 0.086 0.164 0.326 0.316 0.365 0.905 0.331 0.199
Ρ in g/cm3, matching the order above: 13.377 10.097 10.375 12.940 12.425 11.200 12.963 13.146